Here is an optimized crystal structure of PmEr2MgHg4 from the Alexandria database. Energies are from PBE.

Summary:
* E: -2.527 eV per atom
* ρ: 10.91 g/cm3
* ΔE_f: -442 meV per atom
* space group: R-3m (166)

```
8
Lattice="-2.387 0.352 4.518 0.947 -3.443 3.672 6.009 3.992 5.766" Properties=species:S:1:pos:R:3 pbc="T T T"
Pm 0.000 0.000 0.000
Er 3.305 0.582 10.410
Er 1.264 0.319 3.546
Mg 2.285 0.451 6.978
Hg 4.629 2.265 8.075
Hg 1.015 -1.191 9.338
Hg 3.554 2.092 4.618
Hg -0.060 -1.364 5.881
```


Here is an optimized crystal structure of PrEr2MgHg4 from the Alexandria database. Energies are from PBE.

Summary:
* E: -2.524 eV per atom
* ρ: 10.69 g/cm3
* ΔE_f: -435 meV per atom
* space group: R-3m (166)

```
8
Lattice="-0.366 -0.242 5.080 4.103 -1.150 2.799 3.307 8.261 3.191" Properties=species:S:1:pos:R:3 pbc="T T T"
Pr 0.000 0.000 0.000
Er 5.233 4.941 8.289
Er 1.811 1.928 2.781
Mg 3.522 3.434 5.535
Hg 4.243 6.489 5.732
Hg 4.522 1.930 8.094
Hg 2.522 4.939 2.976
Hg 2.801 0.380 5.337
```


Here is an optimized crystal structure of PrErMg2Hg4 from the Alexandria database. Energies are from PBE.

Summary:
* E: -2.174 eV per atom
* ρ: 10.10 g/cm3
* ΔE_f: -457 meV per atom
* space group: R-3m (166)

```
8
Lattice="5.109 0.000 0.000 2.554 4.424 0.000 2.554 1.475 8.430" Properties=species:S:1:pos:R:3 pbc="T T T"
Pr 0.000 0.000 0.000
Er 5.109 2.950 4.215
Mg 7.663 4.424 6.305
Mg 2.554 1.475 2.124
Hg 5.109 2.950 7.261
Hg 7.663 4.424 3.240
Hg 2.554 1.475 5.190
Hg 5.109 2.950 1.169
```


Here is an optimized crystal structure of ErMgHgRu from the Alexandria database. Energies are from PBE.

Summary:
* E: -4.109 eV per atom
* ρ: 10.33 g/cm3
* ΔE_f: -175 meV per atom
* space group: F-43m (216)

```
4
Lattice="-4.502 0.150 1.722 -3.743 -0.611 -2.979 -2.630 -4.036 0.228" Properties=species:S:1:pos:R:3 pbc="T T T"
Ru -8.156 -3.372 -0.772
Mg 0.000 0.000 0.000
Hg -2.719 -1.124 -0.257
Er -5.437 -2.248 -0.514
```


Question: ρ of number 3 (PrErMg2Hg4)?
Answer: 10.10 g/cm3


Question: The lowest ρ belongs to which entry?
Answer: PrErMg2Hg4